Entry from the Open Quantum Materials Database: a relaxed NaCuMo crystal (PBE-GGA).

The value obtained for the raw total energy is -3.658 eV per atom. The calculation puts the mass density at 4.63 Mg/m³. As for the magnetization: 3.98 μB per formula unit. As for the crystal system: cubic.

The space group is F-43m (No. 216) and the conventional cell measures 6.3979, 6.3979 and 6.3979 Å, with angles of 90.00, 90.00 and 90.00 degrees. The asymmetric unit holds Na at (0.0000, 0.0000, 0.0000), Cu at (0.0000, 0.0000, 0.5000) and Mo at (0.2500, 0.2500, 0.7500).